Entry 1:
# BaNa3Pt | Alexandria | PBE | relaxed
data_BaNa3Pt
_symmetry_space_group_name_H-M 'P m -3 m'
_symmetry_Int_Tables_number 221
_symmetry_space_group_name_Hall '-P 4 2 3'
_cell_length_a 6.308
_cell_length_b 6.308
_cell_length_c 6.308
_cell_angle_alpha 90.00
_cell_angle_beta 90.00
_cell_angle_gamma 90.00
loop_
_atom_site_label
_atom_site_type_symbol
_atom_site_fract_x
_atom_site_fract_y
_atom_site_fract_z
Ba1 Ba 0.000 0.000 0.000
Na1 Na 0.000 0.000 0.500
Pt1 Pt 0.500 0.500 0.500
# ΔE to the lowest computed polymorph (eV/atom): 1.257
# Calculated formation energy (eV/atom): 1.293
# Uncorrected energy (eV/cell): -5.46

---

Entry 2:
# HfMnGeRh2 | Alexandria | PBE | relaxed
data_HfMnGeRh2
_symmetry_space_group_name_H-M 'P 4/m m m'
_symmetry_Int_Tables_number 123
_symmetry_space_group_name_Hall '-P 4 2'
_cell_length_a 4.513
_cell_length_b 4.513
_cell_length_c 4.358
_cell_angle_alpha 90.00
_cell_angle_beta 90.00
_cell_angle_gamma 90.00
loop_
_atom_site_label
_atom_site_type_symbol
_atom_site_fract_x
_atom_site_fract_y
_atom_site_fract_z
Hf1 Hf 0.000 0.000 0.000
Mn1 Mn 0.500 0.500 0.000
Ge1 Ge 0.500 0.500 0.500
Rh1 Rh 0.000 0.500 0.500
# Calculated formation energy (eV/atom): 0.229
# Uncorrected energy (eV/cell): -37.30

---

Entry 3:
# NdSc5As6 | Alexandria | PBE | relaxed
data_NdSc5As6
_symmetry_space_group_name_H-M 'C 1 2/m 1'
_symmetry_Int_Tables_number 12
_cell_length_a 6.848
_cell_length_b 11.861
_cell_length_c 6.849
_cell_angle_alpha 90.00
_cell_angle_beta 109.60
_cell_angle_gamma 90.00
loop_
_symmetry_equiv_pos_as_xyz
'x,y,z'
'-x,-y,-z'
'-x,y,-z'
'x,-y,z'
'x+1/2,y+1/2,z'
'-x+1/2,-y+1/2,-z'
'-x+1/2,y+1/2,-z'
'x+1/2,-y+1/2,z'
loop_
_atom_site_label
_atom_site_type_symbol
_atom_site_fract_x
_atom_site_fract_y
_atom_site_fract_z
Nd1 Nd 0.000 0.000 0.000
Sc1 Sc 0.000 0.163 0.500
Sc2 Sc 0.000 0.332 0.000
Sc3 Sc 0.000 0.500 0.500
As1 As 0.238 0.500 0.256
As2 As 0.240 0.326 0.741
# Calculated formation energy (eV/atom): -1.368
# Uncorrected energy (eV/cell): -161.47

---

Entry 4:
# Ho2Er2Pt15 | Alexandria | PBE | relaxed
data_Ho2Er2Pt15
_symmetry_space_group_name_H-M 'R -3 m'
_symmetry_Int_Tables_number 166
_symmetry_space_group_name_Hall '-R 3 2"'
_cell_length_a 9.2941
_cell_length_b 9.2941
_cell_length_c 13.8599
_cell_angle_alpha 90.00
_cell_angle_beta 90.00
_cell_angle_gamma 120.00
loop_
_atom_site_label
_atom_site_type_symbol
_atom_site_fract_x
_atom_site_fract_y
_atom_site_fract_z
Ho1 Ho 0.0000 0.0000 0.1363
Er1 Er 0.0000 0.0000 0.3927
Pt1 Pt 0.0000 0.3145 0.5000
Pt2 Pt 0.0000 0.5000 0.0000
Pt3 Pt 0.0063 0.5032 0.6558
# Calculated formation energy (eV/atom): -0.715
# Uncorrected energy (eV/cell): -367.46

---

Entry 5:
# GdNi4Pb | Alexandria | PBE | relaxed
data_GdNi4Pb
_symmetry_space_group_name_H-M 'F -4 3 m'
_symmetry_Int_Tables_number 216
_symmetry_space_group_name_Hall 'F -4 2 3'
_cell_length_a 7.165
_cell_length_b 7.165
_cell_length_c 7.165
_cell_angle_alpha 90.00
_cell_angle_beta 90.00
_cell_angle_gamma 90.00
loop_
_atom_site_label
_atom_site_type_symbol
_atom_site_fract_x
_atom_site_fract_y
_atom_site_fract_z
Gd1 Gd 0.000 0.000 0.000
Ni1 Ni 0.125 0.125 0.375
Pb1 Pb 0.250 0.250 0.750
# Calculated formation energy (eV/atom): -0.239
# Uncorrected energy (eV/cell): -169.39

---

Entry 6:
# CdFe2B | Alexandria | PBE | relaxed
data_CdFe2B
_symmetry_space_group_name_H-M 'I -4 2 d'
_symmetry_Int_Tables_number 122
_symmetry_space_group_name_Hall 'I -4 2bw'
_cell_length_a 4.531
_cell_length_b 4.531
_cell_length_c 12.740
_cell_angle_alpha 90.00
_cell_angle_beta 90.00
_cell_angle_gamma 90.00
loop_
_atom_site_label
_atom_site_type_symbol
_atom_site_fract_x
_atom_site_fract_y
_atom_site_fract_z
Cd1 Cd 0.000 0.000 0.000
Fe1 Fe 0.052 0.750 0.625
B1 B 0.000 0.000 0.500
# ΔE to the lowest computed polymorph (eV/atom): 0.000
# Calculated formation energy (eV/atom): 0.789
# Uncorrected energy (eV/cell): -85.44

---

Entry 7:
# KCa4Sc | Alexandria | PBE | relaxed
data_KCa4Sc
_symmetry_space_group_name_H-M 'F -4 3 m'
_symmetry_Int_Tables_number 216
_symmetry_space_group_name_Hall 'F -4 2 3'
_cell_length_a 10.149
_cell_length_b 10.149
_cell_length_c 10.149
_cell_angle_alpha 90.00
_cell_angle_beta 90.00
_cell_angle_gamma 90.00
loop_
_atom_site_label
_atom_site_type_symbol
_atom_site_fract_x
_atom_site_fract_y
_atom_site_fract_z
K1 K 0.000 0.000 0.000
Ca1 Ca 0.124 0.124 0.376
Sc1 Sc 0.250 0.250 0.750
# Calculated formation energy (eV/atom): 0.409
# Uncorrected energy (eV/cell): -51.93

---

Entry 8:
# TmThS | Alexandria | PBE | relaxed
data_TmThS
_symmetry_space_group_name_H-M 'P 3 m 1'
_symmetry_Int_Tables_number 156
_cell_length_a 3.7890
_cell_length_b 3.7890
_cell_length_c 6.4927
_cell_angle_alpha 90.00
_cell_angle_beta 90.00
_cell_angle_gamma 120.00
loop_
_symmetry_equiv_pos_as_xyz
'x,y,z'
'-y,x-y,z'
'-x+y,-x,z'
'-y,-x,z'
'-x+y,y,z'
'x,x-y,z'
loop_
_atom_site_label
_atom_site_type_symbol
_atom_site_fract_x
_atom_site_fract_y
_atom_site_fract_z
Tm1 Tm 0.0000 0.0000 0.0000
Th1 Th 0.6667 0.3333 0.5364
S1 S 0.3333 0.6667 0.2467
# Formation energy (no corrections) (eV per atom): -1.092
# ΔE to the lowest computed polymorph (eV/atom): 0.018
# Uncorrected energy (eV/cell): -19.29

---

Entry 9:
# Pr2NpSi3Au12 | Alexandria | PBE | relaxed
data_Pr2NpSi3Au12
_symmetry_space_group_name_H-M 'R -3 m'
_symmetry_Int_Tables_number 166
_symmetry_space_group_name_Hall '-R 3 2"'
_cell_length_a 8.9695
_cell_length_b 8.9695
_cell_length_c 18.0768
_cell_angle_alpha 90.00
_cell_angle_beta 90.00
_cell_angle_gamma 120.00
loop_
_atom_site_label
_atom_site_type_symbol
_atom_site_fract_x
_atom_site_fract_y
_atom_site_fract_z
Pr1 Pr 0.0000 0.0000 0.0957
Np1 Np 0.0000 0.0000 0.5000
Si1 Si 0.0000 0.5000 0.0000
Au1 Au 0.0318 0.5159 0.3157
Au2 Au 0.0383 0.5191 0.8648
# Formation energy (no corrections) (eV per atom): -0.086
# Uncorrected energy (eV/cell): -238.96

---

Entry 10:
# AlTeRh2 | Alexandria | PBE | relaxed
data_AlTeRh2
_symmetry_space_group_name_H-M 'I -4 2 d'
_symmetry_Int_Tables_number 122
_symmetry_space_group_name_Hall 'I -4 2bw'
_cell_length_a 4.190
_cell_length_b 4.190
_cell_length_c 16.664
_cell_angle_alpha 90.00
_cell_angle_beta 90.00
_cell_angle_gamma 90.00
loop_
_atom_site_label
_atom_site_type_symbol
_atom_site_fract_x
_atom_site_fract_y
_atom_site_fract_z
Al1 Al 0.000 0.000 0.000
Te1 Te 0.000 0.000 0.500
Rh1 Rh 0.243 0.250 0.125
# Formation energy (no corrections) (eV per atom): -0.195
# ΔE to the lowest computed polymorph (eV/atom): 0.240
# Uncorrected energy (eV/cell): -89.46

---

Entry 11:
# SmDy3Tm5 | Alexandria | PBE | relaxed
data_SmDy3Tm5
_symmetry_space_group_name_H-M 'C 1 2/m 1'
_symmetry_Int_Tables_number 12
_cell_length_a 15.900
_cell_length_b 8.656
_cell_length_c 11.732
_cell_angle_alpha 90.00
_cell_angle_beta 129.13
_cell_angle_gamma 90.00
loop_
_symmetry_equiv_pos_as_xyz
'x,y,z'
'-x,-y,-z'
'-x,y,-z'
'x,-y,z'
'x+1/2,y+1/2,z'
'-x+1/2,-y+1/2,-z'
'-x+1/2,y+1/2,-z'
'x+1/2,-y+1/2,z'
loop_
_atom_site_label
_atom_site_type_symbol
_atom_site_fract_x
_atom_site_fract_y
_atom_site_fract_z
Sm1 Sm 0.141 0.000 0.356
Dy1 Dy 0.000 0.000 0.000
Dy2 Dy 0.000 0.000 0.500
Dy3 Dy 0.225 0.500 0.291
Dy4 Dy 0.243 0.500 0.803
Tm1 Tm 0.000 0.321 0.000
Tm2 Tm 0.054 0.500 0.397
Tm3 Tm 0.112 0.180 0.828
Tm4 Tm 0.155 0.500 0.972
# ΔE to the lowest computed polymorph (eV/atom): 0.348
# Calculated formation energy (eV/atom): 0.478
# Uncorrected energy (eV/cell): -146.32

---

Entry 12:
# CrFeReTc | Alexandria | PBE | relaxed
data_CrFeReTc
_symmetry_space_group_name_H-M 'F -4 3 m'
_symmetry_Int_Tables_number 216
_symmetry_space_group_name_Hall 'F -4 2 3'
_cell_length_a 5.965
_cell_length_b 5.965
_cell_length_c 5.965
_cell_angle_alpha 90.00
_cell_angle_beta 90.00
_cell_angle_gamma 90.00
loop_
_atom_site_label
_atom_site_type_symbol
_atom_site_fract_x
_atom_site_fract_y
_atom_site_fract_z
Cr1 Cr 0.000 0.000 0.000
Fe1 Fe 0.000 0.000 0.500
Re1 Re 0.250 0.250 0.750
Tc1 Tc 0.250 0.250 0.250
# ΔE to the lowest computed polymorph (eV/atom): 0.000
# Calculated formation energy (eV/atom): 0.103
# Uncorrected energy (eV/cell): -161.95